# 1
A geometry-optimized CdHg3Ir structure, computed with PBE. Values from VASP.

Computed properties:
**Symmetry**: Pm-3m
**M_tot**: 0.000 μB per formula unit
**DFT total energy**: -0.1301 Ry/atom

Geometry as Quantum ESPRESSO input:
```
&SYSTEM
  ibrav = 0, nat = 5, ntyp = 3
/
ATOMIC_SPECIES
Cd 112.41 Cd.upf
Hg 200.59 Hg.upf
Ir 192.22 Ir.upf
CELL_PARAMETERS angstrom
5.2905 0.0000 0.0000
0.0000 5.2905 0.0000
0.0000 0.0000 5.2905
ATOMIC_POSITIONS crystal
Cd 0.0000 0.0000 0.0000
Hg 0.0000 0.5000 0.5000
Hg 0.5000 0.0000 0.5000
Hg 0.5000 0.5000 0.0000
Ir 0.5000 0.5000 0.5000
```



# 2
A geometry-optimized Cd2HgIr structure, computed with PBE. Values from VASP.

Computed properties:
**Symmetry**: F-43m
**Polymorph energy (0 for the lowest one)**: 0.54 eV/f.u.
**M_tot**: 0.000 μB per formula unit

Geometry as Quantum ESPRESSO input:
```
&SYSTEM
  ibrav = 0, nat = 4, ntyp = 3
/
ATOMIC_SPECIES
Cd 112.41 Cd.upf
Hg 200.59 Hg.upf
Ir 192.22 Ir.upf
CELL_PARAMETERS angstrom
0.0000 3.3615 3.3615
3.3615 0.0000 3.3615
3.3615 3.3615 0.0000
ATOMIC_POSITIONS crystal
Cd 0.0000 0.0000 0.0000
Cd 0.2500 0.2500 0.2500
Hg 0.5000 0.5000 0.5000
Ir 0.7500 0.7500 0.7500
```



# 3
A geometry-optimized Cd2HgIr structure, computed with PBE. Values from VASP.

Computed properties:
**Symmetry**: Pmm2
**Polymorph energy (0 for the lowest one)**: 0.48 eV/f.u.
**M_tot**: 0.000 μB per formula unit

Geometry as Quantum ESPRESSO input:
```
&SYSTEM
  ibrav = 0, nat = 4, ntyp = 3
/
ATOMIC_SPECIES
Cd 112.41 Cd.upf
Hg 200.59 Hg.upf
Ir 192.22 Ir.upf
CELL_PARAMETERS angstrom
3.1033 0.0000 0.0000
0.0000 4.1410 0.0000
0.0000 0.0000 5.9793
ATOMIC_POSITIONS crystal
Cd 0.0000 0.0000 0.0000
Cd 0.5000 0.5000 0.2700
Hg 0.0000 0.0000 0.5309
Ir 0.5000 0.5000 0.7812
```



# 4
A geometry-optimized CdHgIr2 structure, computed with PBE. Values from VASP.

Computed properties:
**Symmetry**: Pmmm
**M_tot**: 0.001 μB per formula unit
**DFT total energy**: -0.3130 Ry/atom

Geometry as Quantum ESPRESSO input:
```
&SYSTEM
  ibrav = 0, nat = 4, ntyp = 3
/
ATOMIC_SPECIES
Cd 112.41 Cd.upf
Hg 200.59 Hg.upf
Ir 192.22 Ir.upf
CELL_PARAMETERS angstrom
2.8975 0.0000 0.0000
0.0000 4.1213 0.0000
0.0000 0.0000 5.8051
ATOMIC_POSITIONS crystal
Cd 0.0000 0.0000 0.0000
Hg 0.0000 0.0000 0.5000
Ir 0.5000 0.5000 0.2416
Ir 0.5000 0.5000 0.7584
```